DFT (PBE) results for crystalline Cr6Ir5Ru at its relaxed geometry.

Cell: 7.0713 7.0713 7.0713 Å, 148.88 117.57 71.40°
Fractional positions:
Cr  0.0837  0.3350  0.7487
Cr  0.2480  0.0000  0.2480
Cr  0.4136  0.6650  0.7487
Cr  0.5864  0.3350  0.2513
Cr  0.7520  0.0000  0.7520
Cr  0.9163  0.6650  0.2513
Ir  0.1668  0.1668  0.0000
Ir  0.3331  0.8331  0.5000
Ir  0.5000  0.5000  0.0000
Ir  0.6669  0.1669  0.5000
Ir  0.8332  0.8332  0.0000
Ru  0.0000  0.5000  0.5000

**E_form**: -142 meV/atom
**Crystal system**: orthorhombic
**Space group**: Immm (71)